Entry 1:
Entry from Alexandria via LeMat-Bulk: crystalline LaMgO2F at its relaxed geometry (GGA-PBE).

N(E_F) in states/eV per atom: 0.00
M_tot in μB per atom: 0.00
SG: P4/mmm
Formation energy without anion corrections in eV per atom: -3.15

Lattice parameters (Å, degrees): 4.0363 4.0363 3.7662 90.00 90.00 90.00
With the nearest neighbours (Å) after each atom.
Atoms (fractional coordinates):
La1 0.0000 0.0000 0.0000  8 O 2.76, 4 F 2.85
Mg1 0.5000 0.5000 0.5000  2 F 1.88, 4 O 2.02
O1 0.0000 0.5000 0.5000  2 Mg 2.02
O2 0.5000 0.0000 0.5000  2 Mg 2.02
F1 0.5000 0.5000 0.0000  2 Mg 1.88

Entry 2:
Entry from Alexandria via LeMat-Bulk: crystalline LaMgOF2 at its relaxed geometry (GGA-PBE).

N(E_F) in states/eV per atom: 0.52
M_tot in μB per atom: 0.00
SG: P4/mmm
Formation energy without anion corrections in eV per atom: -2.97

Lattice parameters (Å, degrees): 3.9166 3.9166 4.2571 90.00 90.00 90.00
With the nearest neighbours (Å) after each atom.
Atoms (fractional coordinates):
La1 0.0000 0.0000 0.0000  4 O 2.77, 8 F 2.89
Mg1 0.5000 0.5000 0.5000  4 F 1.96, 2 O 2.13
O1 0.5000 0.5000 0.0000  2 Mg 2.13
F1 0.0000 0.5000 0.5000  2 Mg 1.96
F2 0.5000 0.0000 0.5000  2 Mg 1.96

Entry 3:
Entry from Alexandria via LeMat-Bulk: crystalline LaMgO2F at its relaxed geometry (GGA-PBE).

N(E_F) in states/eV per atom: 0.57
M_tot in μB per atom: 0.00
SG: P4/mmm
Formation energy without anion corrections in eV per atom: -2.14

Lattice parameters (Å, degrees): 4.6374 4.6374 4.5573 90.00 90.00 90.00
With the nearest neighbours (Å) after each atom.
Atoms (fractional coordinates):
La1 0.0000 0.0000 0.0000  2 F 2.28, 4 O 2.32
Mg1 0.5000 0.5000 0.5000  8 O 3.25, 4 F 3.28
O1 0.0000 0.5000 0.0000  2 La 2.32
O2 0.5000 0.0000 0.0000  2 La 2.32
F1 0.0000 0.0000 0.5000  2 La 2.28

Entry 4:
Entry from Alexandria via LeMat-Bulk: crystalline La2MgPtF at its relaxed geometry (GGA-PBE).

N(E_F) in states/eV per atom: 1.37
M_tot in μB per atom: 0.00
SG: P4/mmm
Formation energy without anion corrections in eV per atom: -0.55

Lattice parameters (Å, degrees): 5.8701 5.8701 3.7500 90.00 90.00 90.00
With the nearest neighbours (Å) after each atom.
Atoms (fractional coordinates):
La1 0.0000 0.5000 0.0000  2 Mg 2.94
La2 0.5000 0.0000 0.0000  2 Mg 2.94
Mg1 0.0000 0.0000 0.0000  2 F 1.87
Pt1 0.5000 0.5000 0.5000  8 La 3.48, 2 Pt 3.75
F1 0.0000 0.0000 0.5000  2 Mg 1.87

Entry 5:
Entry from Alexandria via LeMat-Bulk: crystalline La2MgPtF at its relaxed geometry (GGA-PBE).

N(E_F) in states/eV per atom: 0.74
M_tot in μB per atom: 0.00
SG: P4/mmm
Formation energy without anion corrections in eV per atom: -0.88

Lattice parameters (Å, degrees): 5.6569 5.6569 5.0503 90.00 90.00 90.00
With the nearest neighbours (Å) after each atom.
Atoms (fractional coordinates):
La1 0.0000 0.5000 0.0000  2 Pt 2.83
La2 0.5000 0.0000 0.0000  2 Pt 2.83
Mg1 0.0000 0.0000 0.5000  2 Pt 2.53
Pt1 0.0000 0.0000 0.0000  2 Mg 2.53
F1 0.5000 0.5000 0.5000  8 La 3.79, 4 Mg 4.00

Entry 6:
Entry from Alexandria via LeMat-Bulk: crystalline Rb2LaMgF6 at its relaxed geometry (GGA-PBE).

N(E_F) in states/eV per atom: 1.03
M_tot in μB per atom: 0.04
SG: Fm-3m
Formation energy without anion corrections in eV per atom: -3.12

Lattice parameters (Å, degrees): 6.3921 6.3921 6.3921 60.00 60.00 60.00
With the nearest neighbours (Å) after each atom.
Atoms (fractional coordinates):
Rb1 0.2500 0.2500 0.2500  12 F 3.20
Rb2 0.7500 0.7500 0.7500  12 F 3.20
La1 0.0000 0.0000 0.0000  6 F 2.43
Mg1 0.5000 0.5000 0.5000  6 F 2.09
F1 0.2692 0.2692 0.7308  1 Mg 2.09
F2 0.2692 0.7308 0.2692  1 Mg 2.09
F3 0.2692 0.7308 0.7308  1 Mg 2.09
F4 0.7308 0.2692 0.2692  1 Mg 2.09
F5 0.7308 0.2692 0.7308  1 Mg 2.09
F6 0.7308 0.7308 0.2692  1 Mg 2.09